Here is crystalline AcTbEuAl at its relaxed geometry from Alexandria. Energies are from GGA-PBE.

Structure (extended XYZ):
```
4
Lattice="0.0000 3.9789 3.9789 3.9789 0.0000 3.9789 3.9789 3.9789 0.0000" Properties=species:S:1:pos:R:3 pbc="T T T"
Ac 0.0000 0.0000 0.0000
Tb 5.9684 5.9684 5.9684
Eu 1.9895 1.9895 1.9895
Al 3.9789 3.9789 3.9789
```

Summary:
- E_tot (eV per atom) = -5.5929
- V (Å³/f.u.) = 126
- calculated formation energy (meV/atom) = 96